VASP calculation (PBE-GGA) on TbMg2Pb after structural relaxation.

Summary:
As for the density of states at the Fermi level: 8.0 states/eV per cell. The calculation puts the size of the total moment at 0.00 μB per cell. The value obtained for the formation enthalpy at 0 K is 0.18 eV/atom.

Cell lengths 3.3515, 3.3515, 35.0120 Å; angles 90.00, 90.00, 120.00 degrees
Space group R-3m (No. 166, hexagonal axes)
Inequivalent atoms, fractional coordinates:
Tb 0.0000 0.0000 0.0000 (multiplicity 3)
Mg 0.0000 0.0000 0.0912 (multiplicity 6)
Pb 0.0000 0.0000 0.5000 (multiplicity 3)

=====

VASP calculation (PBE-GGA) on CaTbNdTl after structural relaxation.

Summary:
As for the density of states at the Fermi level: 13.1 states/eV per cell. The calculation puts the size of the total moment at 0.00 μB per cell. The value obtained for the formation enthalpy at 0 K is -0.08 eV/atom.

Cell lengths 7.899, 7.899, 7.899 Å; angles 90.00, 90.00, 90.00 degrees
Space group F-43m (No. 216)
Inequivalent atoms, fractional coordinates:
Ca 0.000 0.000 0.000 (multiplicity 4)
Tb 0.250 0.250 0.250 (multiplicity 4)
Nd 0.250 0.250 0.750 (multiplicity 4)
Tl 0.000 0.000 0.500 (multiplicity 4)

=====

Question: Which of these has the highest formation enthalpy at 0 K?
Answer: TbMg2Pb